Crystalline CsCdBi2Te4 at its relaxed geometry. Source: Alexandria via LeMat-Bulk, functional GGA-PBE.

abc: 4.610 16.305 16.872
angles: 90.00 90.00 90.00
Space group Cmcm (No. 63)
One atom of each set of equivalent atoms:
1 Cs 0.000 0.124 0.250 [4 per cell]
2 Cd 0.000 0.164 0.750 [4 per cell]
3 Bi 0.000 0.378 0.061 [8 per cell]
4 Te 0.000 0.000 0.000 [4 per cell]
5 Te 0.000 0.248 0.601 [8 per cell]
6 Te 0.000 0.439 0.250 [4 per cell]

Output
Density of states at the Fermi level   3.5 states/eV/f.u.
Calculated total energy   -100.62 eV for the cell shown
Density   6.15 g/cm3
Magnetic moment   0.00 μB per cell
ΔE_f (raw)   -382 meV/atom